Entry 1:
Here is a crystal of YTcMo2 relaxed with PBEsol from Alexandria via LeMat-Bulk. Energies are from SCAN.

Output
SG	I4/mmm, No. 139
ΔH_f (0 K)	11.75	kcal/mol of atoms
electronic total energy	-130.63	eV per cell

a = 3.796 Å, b = 3.796 Å, c = 5.498 Å
α = 110.20°, β = 110.20°, γ = 90.00°
Element x y z (fractional)
Y 0.000 0.000 0.000
Mo 0.750 0.250 0.500
Tc 0.500 0.500 0.000
Mo 0.250 0.750 0.500

***

Entry 2:
Here is a crystal of YTcMo relaxed with PBEsol from Alexandria via LeMat-Bulk. Energies are from SCAN.

Output
SG	Fmm2, No. 42
ΔH_f (0 K)	8.91	kcal/mol of atoms
electronic total energy	-96.63	eV per cell

a = 2.890 Å, b = 2.890 Å, c = 7.080 Å
α = 97.26°, β = 97.26°, γ = 112.40°
Element x y z (fractional)
Mo 0.985 0.985 0.969
Y 0.671 0.671 0.342
Tc 0.345 0.345 0.689

***

Entry 3:
Here is a crystal of YTcMo2 relaxed with PBEsol from Alexandria via LeMat-Bulk. Energies are from SCAN.

Output
SG	Pmmm, No. 47
ΔH_f (0 K)	7.82	kcal/mol of atoms
electronic total energy	-131.32	eV per cell

a = 3.199 Å, b = 4.494 Å, c = 4.688 Å
α = 90.00°, β = 90.00°, γ = 90.00°
Element x y z (fractional)
Tc 0.500 0.000 0.500
Mo 0.500 0.500 0.000
Mo 0.000 0.000 0.000
Y 0.000 0.500 0.500

***

Entry 4:
Here is a crystal of YTc2Mo relaxed with PBEsol from Alexandria via LeMat-Bulk. Energies are from SCAN.

Output
SG	R-3m, No. 166
ΔH_f (0 K)	8.88	kcal/mol of atoms
electronic total energy	-131.31	eV per cell

a = 3.048 Å, b = 3.048 Å, c = 8.681 Å
α = 79.89°, β = 79.89°, γ = 60.00°
Element x y z (fractional)
Tc 0.259 0.259 0.222
Tc 0.741 0.741 0.778
Y 0.500 0.500 0.500
Mo 0.000 0.000 0.000

***

Entry 5:
Here is a crystal of YTcMo2 relaxed with PBEsol from Alexandria via LeMat-Bulk. Energies are from SCAN.

Output
SG	R3m, No. 160
ΔH_f (0 K)	11.24	kcal/mol of atoms
electronic total energy	-130.72	eV per cell

a = 3.053 Å, b = 3.053 Å, c = 8.870 Å
α = 80.09°, β = 80.09°, γ = 60.00°
Element x y z (fractional)
Y 0.249 0.249 0.254
Mo 0.751 0.751 0.748
Mo 0.010 0.010 0.969
Tc 0.490 0.490 0.529

***

Entry 6:
Here is a crystal of ZnTcMo2 relaxed with PBEsol from Alexandria via LeMat-Bulk. Energies are from SCAN.

Output
SG	Cmmm, No. 65
ΔH_f (0 K)	3.97	kcal/mol of atoms
electronic total energy	-117.66	eV per cell

a = 2.684 Å, b = 4.837 Å, c = 4.837 Å
α = 112.95°, β = 90.00°, γ = 90.00°
Element x y z (fractional)
Mo 0.000 0.500 0.000
Tc 0.500 0.000 0.000
Zn 0.500 0.500 0.500
Mo 0.000 0.000 0.500

***

Entry 7:
Here is a crystal of Zn2Tc2Mo relaxed with PBEsol from Alexandria via LeMat-Bulk. Energies are from SCAN.

Output
SG	I4/mmm, No. 139
ΔH_f (0 K)	13.41	kcal/mol of atoms
electronic total energy	-129.13	eV per cell

a = 3.543 Å, b = 3.543 Å, c = 6.390 Å
α = 106.10°, β = 106.10°, γ = 90.00°
Element x y z (fractional)
Zn 0.406 0.406 0.812
Zn 0.594 0.594 0.188
Tc 0.750 0.250 0.500
Tc 0.250 0.750 0.500
Mo 0.000 0.000 0.000

***

Entry 8:
Here is a crystal of ZnTcMo relaxed with PBEsol from Alexandria via LeMat-Bulk. Energies are from SCAN.

Output
SG	P3m1, No. 156
ΔH_f (0 K)	-0.11	kcal/mol of atoms
electronic total energy	-83.47	eV per cell

a = 2.614 Å, b = 4.347 Å, c = 4.347 Å
α = 120.00°, β = 90.00°, γ = 90.00°
Element x y z (fractional)
Mo 0.952 0.000 0.000
Tc 0.702 0.667 0.333
Zn 0.346 0.333 0.667